TlNi3Pb5: relaxed, PBE.

Its total energy is -4.10 eV per atom.

The structure in CIF format:
```
data_TlNi3Pb5
_chemical_formula_sum 'Tl1 Ni3 Pb5'
_cell_length_a 5.4730
_cell_length_b 5.4730
_cell_length_c 8.2892
_cell_angle_alpha 90.00
_cell_angle_beta 90.00
_cell_angle_gamma 120.00
_space_group_name_H-M_alt 'P 6/m m m'
_space_group_IT_number 191
_space_group_name_Hall '-P 6 2'
loop_
_atom_site_label
_atom_site_type_symbol
_atom_site_fract_x
_atom_site_fract_y
_atom_site_fract_z
_atom_site_occupancy
Tl1 Tl 0.0000 0.0000 0.0000 1
Ni1 Ni 0.0000 0.5000 0.5000 1
Pb1 Pb 0.0000 0.0000 0.5000 1
Pb2 Pb 0.3333 0.6667 0.2209 1
```

=====

YErBe2Ge2: relaxed, PBE.

Its total energy is -5.30 eV per atom.

The structure in CIF format:
```
data_YErBe2Ge2
_chemical_formula_sum 'Y1 Er1 Be2 Ge2'
_cell_length_a 3.9080
_cell_length_b 3.9080
_cell_length_c 8.0572
_cell_angle_alpha 90.00
_cell_angle_beta 90.00
_cell_angle_gamma 120.00
_space_group_name_H-M_alt 'P -3 m 1'
_space_group_IT_number 164
_space_group_name_Hall '-P 3 2"'
loop_
_atom_site_label
_atom_site_type_symbol
_atom_site_fract_x
_atom_site_fract_y
_atom_site_fract_z
_atom_site_occupancy
Y1 Y 0.0000 0.0000 0.0000 1
Er1 Er 0.0000 0.0000 0.5000 1
Be1 Be 0.3333 0.6667 0.7483 1
Ge1 Ge 0.3333 0.6667 0.2526 1
```

=====

BaMg2GaIr: relaxed, PBE.

Its total energy is -3.78 eV per atom.

The structure in CIF format:
```
data_BaMg2GaIr
_chemical_formula_sum 'Ba1 Mg2 Ga1 Ir1'
_cell_length_a 5.1150
_cell_length_b 5.1150
_cell_length_c 4.8976
_cell_angle_alpha 90.00
_cell_angle_beta 90.00
_cell_angle_gamma 90.00
_space_group_name_H-M_alt 'P 4/m m m'
_space_group_IT_number 123
_space_group_name_Hall '-P 4 2'
loop_
_atom_site_label
_atom_site_type_symbol
_atom_site_fract_x
_atom_site_fract_y
_atom_site_fract_z
_atom_site_occupancy
Ba1 Ba 0.0000 0.0000 0.0000 1
Mg1 Mg 0.0000 0.5000 0.5000 1
Ga1 Ga 0.5000 0.5000 0.0000 1
Ir1 Ir 0.5000 0.5000 0.5000 1
```

=====

LiTe2Au: relaxed, PBE.

Its total energy is -2.83 eV per atom.

The structure in CIF format:
```
data_LiTe2Au
_chemical_formula_sum 'Li4 Te8 Au4'
_cell_length_a 7.2462
_cell_length_b 7.2462
_cell_length_c 7.2462
_cell_angle_alpha 90.00
_cell_angle_beta 90.00
_cell_angle_gamma 90.00
_space_group_name_H-M_alt 'F -4 3 m'
_space_group_IT_number 216
_space_group_name_Hall 'F -4 2 3'
loop_
_atom_site_label
_atom_site_type_symbol
_atom_site_fract_x
_atom_site_fract_y
_atom_site_fract_z
_atom_site_occupancy
Li1 Li 0.0000 0.0000 0.0000 1
Te1 Te 0.0000 0.0000 0.5000 1
Te2 Te 0.2500 0.2500 0.7500 1
Au1 Au 0.2500 0.2500 0.2500 1
```

=====

NdAgTeO: relaxed, PBE.

Its total energy is -5.34 eV per atom.

The structure in CIF format:
```
data_NdAgTeO
_chemical_formula_sum 'Nd2 Ag2 Te2 O2'
_cell_length_a 4.7137
_cell_length_b 5.5811
_cell_length_c 7.0314
_cell_angle_alpha 90.00
_cell_angle_beta 90.00
_cell_angle_gamma 90.00
_space_group_name_H-M_alt 'P m c 21'
_space_group_IT_number 26
_space_group_name_Hall 'P 2c -2'
loop_
_atom_site_label
_atom_site_type_symbol
_atom_site_fract_x
_atom_site_fract_y
_atom_site_fract_z
_atom_site_occupancy
Nd1 Nd 0.0000 0.2299 0.0000 1
Ag1 Ag 0.5000 0.1497 0.6586 1
Te1 Te 0.5000 0.3718 0.3066 1
O1 O 0.0000 0.0678 0.7112 1
```

=====

Ba2CoAsS6: relaxed, PBE.

Its total energy is -4.78 eV per atom.

The structure in CIF format:
```
data_Ba2CoAsS6
_chemical_formula_sum 'Ba8 Co4 As4 S24'
_cell_length_a 9.5854
_cell_length_b 9.5854
_cell_length_c 9.5854
_cell_angle_alpha 90.00
_cell_angle_beta 90.00
_cell_angle_gamma 90.00
_space_group_name_H-M_alt 'F m -3 m'
_space_group_IT_number 225
_space_group_name_Hall '-F 4 2 3'
loop_
_atom_site_label
_atom_site_type_symbol
_atom_site_fract_x
_atom_site_fract_y
_atom_site_fract_z
_atom_site_occupancy
Ba1 Ba 0.2500 0.2500 0.2500 1
Co1 Co 0.0000 0.0000 0.0000 1
As1 As 0.0000 0.0000 0.5000 1
S1 S 0.0000 0.0000 0.2410 1
```